First-principles (PBE with a Hubbard U) data for crystalline Rb5LiSi2NiO8 at its relaxed geometry, as listed in Alexandria.

Cell lengths 6.821, 6.821, 13.954 Å; angles 82.82, 82.82, 98.98 degrees
Last column: magnetic moment on the atom in μB.
Fractional positions:
O 0.739 0.032 0.367  0.00
O 0.146 0.247 0.732  0.00
O 0.333 0.519 0.121  0.07
O 0.968 0.261 0.133  0.00
O 0.261 0.968 0.633  0.00
O 0.519 0.333 0.621  0.07
O 0.481 0.667 0.379  0.07
O 0.215 0.327 0.529  0.05
O 0.667 0.481 0.879  0.07
O 0.673 0.785 0.971  0.05
O 0.247 0.146 0.232  0.00
O 0.854 0.753 0.268  0.00
O 0.785 0.673 0.471  0.05
O 0.032 0.739 0.867  0.00
O 0.753 0.854 0.768  0.00
O 0.327 0.215 0.029  0.05
Rb 0.631 0.369 0.250  0.00
Rb 0.907 0.530 0.650  0.00
Rb 0.964 0.250 0.927  0.00
Rb 0.036 0.750 0.073  0.00
Rb 0.250 0.964 0.427  0.00
Rb 0.470 0.093 0.850  0.00
Rb 0.530 0.907 0.150  0.00
Rb 0.093 0.470 0.350  0.00
Rb 0.750 0.036 0.573  0.00
Rb 0.369 0.631 0.750  0.00
Si 0.279 0.212 0.631  0.00
Si 0.721 0.788 0.369  0.00
Si 0.212 0.279 0.131  0.00
Si 0.788 0.721 0.869  0.00
Li 0.952 0.048 0.250  0.00
Li 0.048 0.952 0.750  0.00
Ni 0.500 0.500 0.000  1.72
Ni 0.500 0.500 0.500  1.72

Space group: C2/c (15)
Uncorrected energy, eV per atom: -5.559
Fermi-level density of states, states/eV/cell: 0.00
Crystal system: monoclinic